# 1
LiS: optimized geometry, PBE-GGA.

Geometry as POSCAR:
```
LiS
1.0
6.0041 0.0000 0.0000
0.0000 6.0041 0.0000
0.0000 0.0000 4.4699
Li S
4 4
direct
0.2371 0.2371 0.0000 Li
0.2629 0.7371 0.5000 Li
0.7371 0.2629 0.5000 Li
0.7629 0.7629 0.0000 Li
0.1257 0.1257 0.5000 S
0.3743 0.6257 0.0000 S
0.6257 0.3743 0.0000 S
0.8743 0.8743 0.5000 S
```

Results
E_form (uncorrected), eV per atom: -0.899
DOS at the Fermi energy, states/eV per atom: 0.00


# 2
Ac3Tl2Se: optimized geometry, PBE-GGA.

Geometry as POSCAR:
```
Ac3Tl2Se
1.0
4.3263 0.0000 0.0000
0.0000 6.6693 0.0000
0.0000 0.0000 15.3862
Ac Tl Se
6 4 2
direct
0.0000 0.0000 0.0000 Ac
0.0000 0.0000 0.3492 Ac
0.0000 0.0000 0.6508 Ac
0.5000 0.5000 0.1508 Ac
0.5000 0.5000 0.5000 Ac
0.5000 0.5000 0.8492 Ac
0.0000 0.5000 0.3251 Tl
0.0000 0.5000 0.6749 Tl
0.5000 0.0000 0.1749 Tl
0.5000 0.0000 0.8251 Tl
0.0000 0.5000 0.0000 Se
0.5000 0.0000 0.5000 Se
```

Results
E_form (uncorrected), eV per atom: -0.762
DOS at the Fermi energy, states/eV per atom: 0.99


# 3
CsNa: optimized geometry, PBE-GGA.

Geometry as POSCAR:
```
CsNa
1.0
9.7463 0.0000 0.0000
0.0000 9.7463 0.0000
0.0000 0.0000 9.7463
Cs Na
4 4
direct
0.0000 0.0000 0.0000 Cs
0.0000 0.5000 0.5000 Cs
0.5000 0.0000 0.5000 Cs
0.5000 0.5000 0.0000 Cs
0.2500 0.2500 0.2500 Na
0.2500 0.7500 0.7500 Na
0.7500 0.2500 0.7500 Na
0.7500 0.7500 0.2500 Na
```

Results
Energy of formation, eV/atom: 0.23
DOS at the Fermi energy, states/eV per atom: 0.01


# 4
CuIr2: optimized geometry, PBE-GGA.

Geometry as POSCAR:
```
CuIr2
1.0
4.2991 0.0000 0.0000
-2.1496 3.7231 0.0000
0.0000 0.0000 5.2198
Cu Ir
2 4
direct
0.3333 0.6667 0.2500 Cu
0.6667 0.3333 0.7500 Cu
0.0000 0.0000 0.0000 Ir
0.0000 0.0000 0.5000 Ir
0.3333 0.6667 0.7500 Ir
0.6667 0.3333 0.2500 Ir
```

Results
Energy of formation, eV/atom: 0.37
DOS at the Fermi energy, states/eV per atom: 1.75


# 5
Pr5Ho4Hg4: optimized geometry, PBE-GGA.

Geometry as POSCAR:
```
Pr5Ho4Hg4
1.0
-6.1806 6.1806 2.5889
6.1806 -6.1806 2.5889
6.1806 6.1806 -2.5889
Pr Ho Hg
5 4 4
direct
0.0000 0.0000 0.0000 Pr
0.3132 0.3793 0.6925 Pr
0.3793 0.6868 0.0660 Pr
0.6207 0.3132 0.9340 Pr
0.6868 0.6207 0.3075 Pr
0.0967 0.6007 0.6974 Ho
0.3993 0.0967 0.4959 Ho
0.6007 0.9033 0.5041 Ho
0.9033 0.3993 0.3026 Ho
0.0892 0.2444 0.3337 Hg
0.2444 0.9108 0.1552 Hg
0.7556 0.0892 0.8448 Hg
0.9108 0.7556 0.6663 Hg
```

Results
Energy of formation, eV/atom: -0.31
DOS at the Fermi energy, states/eV per atom: 0.82


# 6
Pm6H2Ir3: optimized geometry, PBE-GGA.

Geometry as POSCAR:
```
Pm6H2Ir3
1.0
-2.3850 2.3850 10.9689
2.3850 -2.3850 10.9689
2.3850 2.3850 -10.9689
Pm H Ir
6 2 3
direct
0.0827 0.5827 0.5000 Pm
0.2097 0.2097 0.0000 Pm
0.4173 0.9173 0.5000 Pm
0.5827 0.0827 0.5000 Pm
0.7903 0.7903 0.0000 Pm
0.9173 0.4173 0.5000 Pm
0.0973 0.0973 0.0000 H
0.9027 0.9027 0.0000 H
0.3339 0.3339 0.0000 Ir
0.5000 0.5000 0.0000 Ir
0.6661 0.6661 0.0000 Ir
```

Results
VASP energy, eV for the cell shown: -67.24
DOS at the Fermi energy, states/eV per atom: 0.76


# 7
SnHS2: optimized geometry, PBE-GGA.

Geometry as POSCAR:
```
SnHS2
1.0
5.4566 0.0000 0.0000
0.0000 5.4566 0.0000
0.0000 0.0000 10.4912
Sn H S
4 4 8
direct
0.0000 0.0000 0.0000 Sn
0.0000 0.5000 0.2500 Sn
0.5000 0.0000 0.7500 Sn
0.5000 0.5000 0.5000 Sn
0.0000 0.0000 0.5000 H
0.0000 0.5000 0.7500 H
0.5000 0.0000 0.2500 H
0.5000 0.5000 0.0000 H
0.1682 0.2500 0.6250 S
0.2500 0.6682 0.8750 S
0.2500 0.8318 0.3750 S
0.3318 0.2500 0.1250 S
0.6682 0.7500 0.1250 S
0.7500 0.1682 0.3750 S
0.7500 0.3318 0.8750 S
0.8318 0.7500 0.6250 S
```

Results
VASP energy, eV for the cell shown: -58.16
DOS at the Fermi energy, states/eV per atom: 0.69


# 8
HfInC3: optimized geometry, PBE-GGA.

Geometry as POSCAR:
```
HfInC3
1.0
4.1659 0.0000 0.0000
0.0000 4.1659 0.0000
0.0000 0.0000 4.1659
Hf In C
1 1 3
direct
0.0000 0.0000 0.0000 Hf
0.5000 0.5000 0.5000 In
0.0000 0.5000 0.5000 C
0.5000 0.0000 0.5000 C
0.5000 0.5000 0.0000 C
```

Results
Energy of formation, eV/atom: 2.52
DOS at the Fermi energy, states/eV per atom: 0.69